K3VI6 | PBE | relaxed

crystal system	trigonal
symmetry	R-3
formation energy (no corrections)	-1.03	eV/atom
magnetic moment	4.000	μB/cell
N(E_F)	21.35	states/eV per cell
total energy	-3.1990	eV/atom

abc: 9.7326 9.7326 9.7326
angles: 89.79 89.79 89.79
Site moments in Bohr magnetons follow the coordinates.
Element x y z (fractional)
1 I 0.5486 0.2217 0.4441  -0.03
2 I 0.4514 0.7783 0.5559  -0.03
3 I 0.0681 0.7341 0.9105  -0.03
4 I 0.4441 0.5486 0.2217  -0.03
5 V 0.0000 0.0000 0.0000  1.98
6 K 0.9188 0.4336 0.7622  0.00
7 I 0.9319 0.2659 0.0895  -0.03
8 I 0.2217 0.4441 0.5486  -0.03
9 I 0.7341 0.9105 0.0681  -0.03
10 I 0.0895 0.9319 0.2659  -0.03
11 K 0.7622 0.9188 0.4336  0.00
12 V 0.5000 0.5000 0.5000  1.96
13 K 0.5664 0.2378 0.0812  0.00
14 I 0.7783 0.5559 0.4514  -0.03
15 I 0.2659 0.0895 0.9319  -0.03
16 K 0.2378 0.0812 0.5664  0.00
17 K 0.4336 0.7622 0.9188  0.00
18 I 0.5559 0.4514 0.7783  -0.03
19 I 0.9105 0.0681 0.7341  -0.03
20 K 0.0812 0.5664 0.2378  0.00